VASP calculation (PBE) on crystalline CsPmSm2 at its relaxed geometry.

Calculated values
- Crystal system: trigonal
- Calculated total energy: -0.255 Ry/atom
- Energy of formation from the pure elements: 293 meV per atom

CIF file:
```
data_CsPmSm2
_chemical_formula_sum 'Cs3 Pm3 Sm6'
_cell_length_a 3.7182
_cell_length_b 3.7182
_cell_length_c 40.1364
_cell_angle_alpha 90.00
_cell_angle_beta 90.00
_cell_angle_gamma 120.00
_space_group_name_H-M_alt 'R -3 m'
_space_group_IT_number 166
_space_group_name_Hall '-R 3 2"'
loop_
_atom_site_label
_atom_site_type_symbol
_atom_site_fract_x
_atom_site_fract_y
_atom_site_fract_z
Cs1 Cs 0.0000 0.0000 0.0000
Pm1 Pm 0.0000 0.0000 0.5000
Sm1 Sm 0.0000 0.0000 0.0948
```